# SbW3 PBE relaxed
data_SbW3
_chemical_formula_sum 'Sb1 W3'
_cell_length_a 3.1238
_cell_length_b 3.1238
_cell_length_c 8.4292
_cell_angle_alpha 90.00
_cell_angle_beta 90.00
_cell_angle_gamma 120.00
_symmetry_space_group_name_H-M 'P -6 m 2'
_symmetry_Int_Tables_number 187
_symmetry_space_group_name_Hall 'P -6 2'
loop_
_atom_site_label
_atom_site_type_symbol
_atom_site_fract_x
_atom_site_fract_y
_atom_site_fract_z
Sb1 Sb 0.0000 0.0000 0.0000
W1 W 0.0000 0.0000 0.5000
W2 W 0.6667 0.3333 0.2572
# DOS at the Fermi energy	0.688	states/eV/atom
# V	17.81	Å³/atom
# formation energy from raw total energies	0.631	eV/atom
# theoretical density	15.695	g/cm³